The following is a DFT calculation (GGA-PBEsol) of YSc after structural relaxation.

```
4
Lattice="-1.838 2.693 5.483 1.838 -2.693 5.483 1.838 2.693 -5.483" Properties=species:S:1:pos:R:3 pbc="T T T"
Y 0.000 1.346 1.214
Y 1.838 1.346 4.269
Sc 1.838 1.346 -1.529
Sc 0.000 1.346 7.012
```

=====

The following is a DFT calculation (GGA-PBEsol) of Y3Sc after structural relaxation.

```
4
Lattice="5.683 -1.722 0.000 5.683 1.722 0.000 -1.062 0.000 5.838" Properties=species:S:1:pos:R:3 pbc="T T T"
Y 0.000 0.000 0.000
Y 2.002 0.000 4.356
Y 8.302 0.000 1.483
Sc 5.152 0.000 2.919
```

=====

The following is a DFT calculation (GGA-PBEsol) of Y2Sc3 after structural relaxation.

```
5
Lattice="1.673 0.966 13.508 -1.673 0.966 13.508 0.000 -1.931 13.508" Properties=species:S:1:pos:R:3 pbc="T T T"
Y 0.000 0.000 8.228
Y 0.000 0.000 32.295
Sc 0.000 0.000 0.000
Sc 0.000 0.000 16.059
Sc 0.000 0.000 24.464
```

=====

The following is a DFT calculation (GGA-PBEsol) of YSc after structural relaxation.

```
4
Lattice="5.326 0.000 0.000 0.000 3.433 0.000 0.000 0.000 5.934" Properties=species:S:1:pos:R:3 pbc="T T T"
Y 1.332 0.000 1.033
Y 3.995 0.000 4.901
Sc 1.332 1.716 3.922
Sc 3.995 1.716 2.012
```

=====

The following is a DFT calculation (GGA-PBEsol) of Y3Sc after structural relaxation.

```
4
Lattice="4.854 0.000 0.000 0.000 4.854 0.000 0.000 0.000 4.854" Properties=species:S:1:pos:R:3 pbc="T T T"
Y 0.000 0.000 2.427
Y 0.000 2.427 0.000
Y 2.427 0.000 0.000
Sc 2.427 2.427 2.427
```

=====

The following is a DFT calculation (GGA-PBEsol) of Y2Sc after structural relaxation.

```
6
Lattice="0.000 4.451 4.451 4.451 0.000 4.451 4.451 4.451 0.000" Properties=species:S:1:pos:R:3 pbc="T T T"
Y 0.000 0.000 0.000
Y 2.226 2.226 0.000
Y 2.226 0.000 2.226
Y 0.000 2.226 2.226
Sc 3.338 3.338 3.338
Sc 5.564 5.564 5.564
```

=====

no.,energy of formation from the pure elements (meV/atom)
1,95
2,47
3,67
4,24
5,45
6,366